# Rb2RhN, relaxed, DFT PBE
# Uncorrected energy = -69.6 eV/cell
# Calculated volume = 556 Å³/cell
data_Rb2RhN
_cell_length_a 12.1400
_cell_length_b 12.1400
_cell_length_c 3.7725
_cell_angle_alpha 90.00
_cell_angle_beta 90.00
_cell_angle_gamma 90.00
_space_group_name_H-M_alt 'I -4 2 d'
_space_group_IT_number 122
_space_group_name_Hall 'I -4 2bw'
loop_
_atom_site_label
_atom_site_fract_x
_atom_site_fract_y
_atom_site_fract_z
Rb1 0.0316 0.2500 0.1250
Rh1 0.0000 0.0000 0.5000
N1 0.0000 0.0000 0.0000